Record 1
Below is a relaxed AlRe2F2 crystal, with properties calculated at the PBE level.

Cell: 3.386 3.386 8.704 Å, 78.78 78.78 90.00°
Fractional positions:
Re1 0.750 0.250 0.500
F1 0.571 0.571 0.859
Re2 0.250 0.750 0.500
F2 0.429 0.429 0.141
Al1 0.000 0.000 0.000

Results
Its calculated total energy is -6.124 eV/atom. For the magnetic moment, the calculation gives 0.0 μB per formula unit. As for the offset from the most stable computed form: 251.4 meV/atom.



Record 2
Below is a relaxed Tb5In2Pb2 crystal, with properties calculated at the PBE level.

Cell: 8.149 8.257 8.952 Å, 117.46 90.00 90.00°
Fractional positions:
Pb1 0.500 0.292 0.583
Tb1 0.672 0.038 0.725
Tb2 0.672 0.313 0.275
Tb3 0.828 0.538 0.725
Pb2 0.500 0.708 0.417
Tb4 0.500 0.500 0.000
In1 0.626 0.874 0.000
Tb5 0.172 0.462 0.275
Tb6 0.000 0.000 0.000
In2 0.126 0.626 0.000
Tb7 0.172 0.187 0.725
Tb8 0.328 0.962 0.275
Tb9 0.828 0.813 0.275
Tb10 0.328 0.687 0.725
In3 0.374 0.126 0.000
Pb3 0.000 0.792 0.583
Pb4 0.000 0.208 0.417
In4 0.874 0.374 0.000

Results
Its calculated total energy is -4.488 eV/atom. Its formation energy is -483 meV/atom. For the magnetic moment, the calculation gives 0.0 μB per formula unit.



> Among the records above, which one has the lowest calculated total energy?

AlRe2F2



> calculated total energy of number 2 (Tb5In2Pb2)?

-4.488 eV/atom



Repeat the first record exactly.
Below is a relaxed AlRe2F2 crystal, with properties calculated at the PBE level.

Cell: 3.386 3.386 8.704 Å, 78.78 78.78 90.00°
Fractional positions:
Re1 0.750 0.250 0.500
F1 0.571 0.571 0.859
Re2 0.250 0.750 0.500
F2 0.429 0.429 0.141
Al1 0.000 0.000 0.000

Results
Its calculated total energy is -6.124 eV/atom. For the magnetic moment, the calculation gives 0.0 μB per formula unit. As for the offset from the most stable computed form: 251.4 meV/atom.



> What is the formula in the first record?

AlRe2F2